Compound: LaZnGa
Source: Alexandria
Functional: GGA-PBE
Structure: optimized geometry

Geometry as POSCAR:
```
LaZnGa
1.0
-2.3238 3.8368 3.8341
2.3238 -3.8368 3.8341
2.3238 3.8368 -3.8341
La Zn Ga
2 2 2
Cartesian
0.0000 0.0000 0.0000
0.0000 3.8368 0.5291
2.3238 -1.4580 1.5364
2.3238 1.4580 1.5364
2.3238 2.3160 -0.9593
0.0000 1.5208 2.8748
```

Summary:
* uncorrected energy: -3.622 eV per atom
* calculated formation energy: -52.63 kJ per mole of atoms

Compound: La2ZnGa3
Source: Alexandria
Functional: GGA-PBE
Structure: optimized geometry

Geometry as POSCAR:
```
La2ZnGa3
1.0
0.0000 4.3872 7.5838
4.3260 0.0000 7.5838
4.3260 4.3872 0.0000
La Zn Ga
4 2 6
Cartesian
6.4958 4.3872 7.5838
2.1630 2.1936 3.7919
6.4890 6.5808 11.3757
2.1562 4.3872 7.5838
4.3260 4.3872 2.5316
4.3260 4.3872 12.6360
4.3260 2.1985 6.3210
4.3260 4.3872 5.0597
4.3260 2.1985 8.8466
4.3260 6.5759 6.3210
4.3260 4.3872 10.1079
4.3260 6.5759 8.8466
```

Summary:
* uncorrected energy: -3.978 eV per atom
* calculated formation energy: -58.87 kJ per mole of atoms

Compound: LaZnGa
Source: Alexandria
Functional: GGA-PBE
Structure: optimized geometry

Geometry as POSCAR:
```
LaZnGa
1.0
4.5930 0.0000 0.0000
-2.2965 3.9777 0.0000
0.0000 0.0000 7.6723
La Zn Ga
2 2 2
Cartesian
0.0000 0.0000 0.0000
0.0000 0.0000 3.8362
0.0000 2.6518 1.6347
0.0000 2.6518 6.0376
2.2965 1.3259 2.1450
2.2965 1.3259 5.5273
```

Summary:
* uncorrected energy: -3.620 eV per atom
* calculated formation energy: -52.52 kJ per mole of atoms